VASP calculation (PBE) on a relaxed Pr4CuBr2N crystal.

Values from the calculation:
Space group: P2/m
Formation energy without anion corrections (meV/atom): -971
Calculated volume (Å³ per atom): 25.883

Cell lengths 6.986, 3.898, 7.985 Å; angles 90.00, 107.77, 90.00 degrees
Positions (direct):
Pr1 0.201 0.000 0.187
Pr2 0.236 0.500 0.806
Pr3 0.764 0.500 0.194
Pr4 0.799 0.000 0.813
Cu1 0.500 0.000 0.000
Br1 0.000 0.000 0.500
Br2 0.500 0.500 0.500
N1 0.000 0.500 0.000